Here is a relaxed FeSb2TeF crystal from the Alexandria database. Energies are from PBE with a Hubbard U.

Output
**Polymorph energy (0 for the lowest one)**: 99 meV per atom
**Symmetry**: No. 123
**Density of states at the Fermi level**: 1.028 states/eV/atom
**Crystal system**: tetragonal
**ρ**: 6105 kg/m3

The structure in POSCAR format:
```
FeSb2TeF
1.0
4.665 0.000 0.000
0.000 4.665 0.000
0.000 0.000 5.574
Fe Sb Te F
1 2 1 1
direct
0.000 0.000 0.000
0.000 0.500 0.500
0.500 0.000 0.500
0.500 0.500 0.000
0.500 0.500 0.500
```